This record from the Alexandria database describes BeGeH3 after structural relaxation. The functional is GGA-PBE.

Calculated values
**Crystal system**: cubic
**Energy above the most stable polymorph in this dataset**: 0 meV per atom
**Total energy**: -3.14 eV per atom
**Symmetry**: Pm-3m (221)

Cell lengths 3.3850, 3.3850, 3.3850 Å; angles 90.00, 90.00, 90.00 degrees
Closest atoms and distances in Å follow each position.
Fractional positions:
1 H 0.5000 0.0000 0.0000  2 Be 1.69
2 H 0.0000 0.5000 0.0000  2 Be 1.69
3 H 0.0000 0.0000 0.5000  2 Be 1.69
4 Ge 0.5000 0.5000 0.5000  12 H 2.39
5 Be 0.0000 0.0000 0.0000  6 H 1.69